Entry 1:
4
Lattice="0.0000 3.3886 3.3886 3.3886 0.0000 3.3886 3.3886 3.3886 0.0000" Properties=species:S:1:pos:R:3 comment="PBE IrRhPb2, optimized geometry" total_energy_ev_per_cell=-22.33 vol_a3_per_atom=19.454 polymorph_energy_kj_per_mol_atoms=12.28 e_form_ev_per_fu=1.3 n_ef_per_ev_cell=5.309 pbc="T T T"
Ir 0.0000 0.0000 0.0000
Rh 3.3886 3.3886 3.3886
Pb 1.6943 1.6943 1.6943
Pb 5.0828 5.0828 5.0828

Entry 2:
8
Lattice="-3.3016 4.0456 4.4190 3.3016 -4.0456 4.4190 3.3016 4.0456 -4.4190" Properties=species:S:1:pos:R:3 comment="PBE KCu2TeSe4, optimized geometry" total_energy_ev_per_cell=-27.92 vol_a3_per_atom=29.512 n_ef_per_ev_cell=5.376 raw_formation_energy_ev_per_fu=-1.550 pbc="T T T"
K 0.0000 0.0000 0.0000
Cu 3.3016 0.0000 3.0701
Cu 0.0000 4.0456 1.3489
Te 0.0000 0.0000 4.4190
Se 1.7358 2.5615 -1.5475
Se 1.5659 -1.4841 5.9665
Se 1.5659 1.4841 2.8715
Se 1.7358 5.5297 1.5475

Entry 3:
5
Lattice="4.3975 0.0000 0.0000 0.0000 4.3975 0.0000 0.0000 0.0000 4.3975" Properties=species:S:1:pos:R:3 comment="PBE Be3PtPb, optimized geometry" total_energy_ev_per_cell=-20.22 vol_a3_per_atom=17.008 polymorph_energy_kj_per_mol_atoms=0.00 e_form_ev_per_fu=0.7 n_ef_per_ev_cell=1.089 pbc="T T T"
Be 0.0000 0.0000 2.1988
Be 0.0000 2.1988 0.0000
Be 2.1988 0.0000 0.0000
Pt 0.0000 0.0000 0.0000
Pb 2.1988 2.1988 2.1988

Entry 4:
10
Lattice="4.3363 0.0000 0.0000 0.0000 4.3363 0.0000 0.0000 0.0000 11.0272" Properties=species:S:1:pos:R:3 comment="PBE Pr2AlGa4Au3, optimized geometry" total_energy_ev_per_cell=-41.72 vol_a3_per_atom=20.735 e_form_ev_per_fu=-6.5 n_ef_per_ev_cell=3.141 pbc="T T T"
Pr 0.0000 2.1681 2.7502
Pr 2.1681 0.0000 8.2770
Al 2.1681 2.1681 0.0000
Ga 0.0000 0.0000 5.5136
Ga 0.0000 2.1681 9.5080
Ga 2.1681 0.0000 1.5192
Ga 2.1681 2.1681 5.5136
Au 0.0000 0.0000 0.0000
Au 0.0000 2.1681 6.9827
Au 2.1681 0.0000 4.0445

Entry 5:
5
Lattice="5.6627 0.0000 0.0000 0.0000 5.6627 0.0000 0.0000 0.0000 5.6627" Properties=species:S:1:pos:R:3 comment="PBE YLuTe3, optimized geometry" total_energy_ev_per_cell=-23.28 vol_a3_per_atom=36.316 polymorph_energy_kj_per_mol_atoms=78.77 n_ef_per_ev_cell=0.297 raw_formation_energy_ev_per_fu=-2.873 pbc="T T T"
Y 0.0000 0.0000 0.0000
Lu 2.8314 2.8314 2.8314
Te 0.0000 2.8314 2.8314
Te 2.8314 0.0000 2.8314
Te 2.8314 2.8314 0.0000

Entry 6:
8
Lattice="-2.2910 2.2910 8.6139 2.2910 -2.2910 8.6139 2.2910 2.2910 -8.6139" Properties=species:S:1:pos:R:3 comment="PBE KBe2Cr, optimized geometry" total_energy_ev_per_cell=-27.93 vol_a3_per_atom=22.606 polymorph_energy_kj_per_mol_atoms=43.51 e_form_ev_per_fu=4.2 n_ef_per_ev_cell=5.666 pbc="T T T"
K 2.2910 1.1455 2.1535
K 0.0000 1.1455 6.4604
Be 0.0000 0.0000 0.0000
Be 1.1455 1.1455 -4.3070
Be 1.1455 -1.1455 4.3070
Be 0.0000 2.2910 0.0000
Cr 2.2910 -1.1455 6.4604
Cr 0.0000 3.4365 2.1535

Entry 7:
4
Lattice="5.0760 0.0000 0.0000 0.0000 5.0760 0.0000 0.0000 0.0000 5.0760" Properties=species:S:1:pos:R:3 comment="PBE SmGd3, optimized geometry" total_energy_ev_per_cell=-46.84 vol_a3_per_atom=32.696 polymorph_energy_kj_per_mol_atoms=2.02 e_form_ev_per_fu=0.1 n_ef_per_ev_cell=7.381 pbc="T T T"
Sm 0.0000 0.0000 0.0000
Gd 0.0000 2.5380 2.5380
Gd 2.5380 0.0000 2.5380
Gd 2.5380 2.5380 0.0000

Entry 8:
9
Lattice="6.2846 -3.9809 0.0000 6.2846 3.9809 0.0000 -1.5252 0.0000 6.1198" Properties=species:S:1:pos:R:3 comment="PBE Cs2ZrBr4F2, optimized geometry" total_energy_ev_per_cell=-40.67 vol_a3_per_atom=34.024 n_ef_per_ev_cell=0.000 raw_formation_energy_ev_per_fu=-19.979 pbc="T T T"
Cs 1.6912 0.0000 2.0374
Cs 9.3528 0.0000 4.0824
Zr 6.2846 0.0000 0.0000
Br 4.8226 1.9206 1.1655
Br 6.2213 1.9206 4.9543
Br 4.8226 -1.9206 1.1655
Br 6.2213 -1.9206 4.9543
F 3.4895 0.0000 4.5604
F 7.5544 0.0000 1.5593

Entry 9:
5
Lattice="-2.3382 2.3382 10.2768 2.3382 -2.3382 10.2768 2.3382 2.3382 -10.2768" Properties=species:S:1:pos:R:3 comment="PBE K2La2Cl, optimized geometry" total_energy_ev_per_cell=-12.86 vol_a3_per_atom=44.948 polymorph_energy_kj_per_mol_atoms=50.83 n_ef_per_ev_cell=5.626 raw_formation_energy_ev_per_fu=1.033 pbc="T T T"
K 2.3382 0.0000 5.1384
K 0.0000 2.3382 5.1384
La 0.0000 0.0000 1.4082
La 0.0000 0.0000 19.1453
Cl 0.0000 0.0000 10.2768

Entry 10:
5
Lattice="5.6975 0.0000 0.0000 0.0000 5.6975 0.0000 0.0000 0.0000 5.6975" Properties=species:S:1:pos:R:3 comment="PBE ReSbTe3, optimized geometry" total_energy_ev_per_cell=-17.96 vol_a3_per_atom=36.989 polymorph_energy_kj_per_mol_atoms=89.40 n_ef_per_ev_cell=3.751 raw_formation_energy_ev_per_fu=8.038 pbc="T T T"
Re 0.0000 0.0000 0.0000
Sb 2.8487 2.8487 2.8487
Te 0.0000 2.8487 2.8487
Te 2.8487 0.0000 2.8487
Te 2.8487 2.8487 0.0000

Entry 11:
19
Lattice="7.0374 4.0630 2.9772 -7.0374 4.0630 2.9772 0.0000 -8.1260 2.9772" Properties=species:S:1:pos:R:3 comment="PBE Ho12InPd6, optimized geometry" total_energy_ev_per_cell=-98.62 vol_a3_per_atom=26.882 polymorph_energy_kj_per_mol_atoms=11.07 e_form_ev_per_fu=-9.8 n_ef_per_ev_cell=16.241 pbc="T T T"
Ho -2.0878 0.6990 1.5710
Ho 0.4385 -2.1576 1.5710
Ho -2.0624 -2.5963 3.8146
Ho 1.6492 1.4586 1.5710
Ho -3.2796 0.4879 5.1170
Ho -1.2173 3.0842 3.8146
Ho 1.2173 -3.0842 5.1170
Ho 3.2796 -0.4879 3.8146
Ho -1.6492 -1.4586 7.3606
Ho 2.0624 2.5963 5.1170
Ho -0.4385 2.1575 7.3606
Ho 2.0878 -0.6990 7.3606
In 0.0000 0.0000 4.4658
Pd -4.5351 -2.0185 4.9387
Pd -0.5195 -4.9367 3.9930
Pd -4.0156 2.9182 3.9930
Pd 4.0156 -2.9182 4.9387
Pd 0.5195 4.9367 4.9387
Pd 4.5351 2.0185 3.9930

Entry 12:
10
Lattice="7.5157 0.0000 0.0000 0.0000 7.5157 0.0000 0.0000 0.0000 3.2737" Properties=species:S:1:pos:R:3 comment="PBE Hf2CrPd2, optimized geometry" total_energy_ev_per_cell=-83.10 vol_a3_per_atom=18.492 polymorph_energy_kj_per_mol_atoms=0.00 e_form_ev_per_fu=-1.6 n_ef_per_ev_cell=5.848 pbc="T T T"
Hf 1.2921 2.4657 0.0000
Hf 2.4657 6.2236 0.0000
Hf 5.0499 1.2921 0.0000
Hf 6.2236 5.0499 0.0000
Cr 0.0000 0.0000 1.6369
Cr 3.7578 3.7578 1.6369
Pd 0.9775 4.7353 1.6369
Pd 2.7804 0.9775 1.6369
Pd 4.7353 6.5382 1.6369
Pd 6.5382 2.7804 1.6369

Entry 13:
14
Lattice="9.6634 0.0000 0.0000 -4.8317 8.3688 0.0000 0.0000 0.0000 5.7674" Properties=species:S:1:pos:R:3 comment="PBE Pm3Y3Ho, optimized geometry" total_energy_ev_per_cell=-76.22 vol_a3_per_atom=33.315 polymorph_energy_kj_per_mol_atoms=0.00 e_form_ev_per_fu=0.1 n_ef_per_ev_cell=26.681 pbc="T T T"
Pm -0.6883 2.0187 1.4418
Pm -2.7393 7.9555 1.4418
Pm 1.4041 1.6054 4.3255
Pm 3.4276 6.7633 1.4418
Pm 7.5710 0.4133 4.3255
Pm 5.5200 6.3501 4.3255
Y -1.3853 3.9903 4.3255
Y -0.6834 7.5733 4.3255
Y 2.7630 3.1948 1.4418
Y 2.0687 5.1739 4.3255
Y 5.5151 0.7954 1.4418
Y 6.2170 4.3785 1.4418
Ho 0.0000 5.5792 1.4418
Ho 4.8317 2.7896 4.3255

Entry 14:
4
Lattice="0.0000 3.8856 3.8856 3.8856 0.0000 3.8856 3.8856 3.8856 0.0000" Properties=species:S:1:pos:R:3 comment="PBE SrAcTlRh, optimized geometry" total_energy_ev_per_cell=-16.57 vol_a3_per_atom=29.332 polymorph_energy_kj_per_mol_atoms=16.18 e_form_ev_per_fu=-1.1 n_ef_per_ev_cell=2.653 pbc="T T T"
Sr 0.0000 0.0000 0.0000
Ac 3.8856 3.8856 3.8856
Tl 5.8284 5.8284 5.8284
Rh 1.9428 1.9428 1.9428

Entry 15:
4
Lattice="-3.0907 4.0801 2.5830 3.0907 -4.0801 2.5830 3.0907 4.0801 -2.5830" Properties=species:S:1:pos:R:3 comment="PBE CsSbH2, optimized geometry" total_energy_ev_per_cell=-12.18 vol_a3_per_atom=32.572 polymorph_energy_kj_per_mol_atoms=0.83 n_ef_per_ev_cell=0.000 pbc="T T T"
Cs 0.0000 0.0000 0.0000
Sb 0.0000 4.0801 0.0322
H 0.0000 2.8639 1.2921
H 0.0000 5.2963 1.2921

Entry 16:
4
Lattice="1.9167 1.1066 12.0007 -1.9167 1.1066 12.0007 0.0000 -2.2132 12.0007" Properties=species:S:1:pos:R:3 comment="PBE Ac2DyAu, optimized geometry" total_energy_ev_per_cell=-15.43 vol_a3_per_atom=38.180 polymorph_energy_kj_per_mol_atoms=47.62 e_form_ev_per_fu=0.7 n_ef_per_ev_cell=4.983 pbc="T T T"
Ac 0.0000 0.0000 2.9861
Ac 0.0000 0.0000 33.0161
Dy 0.0000 0.0000 18.0011
Au 0.0000 0.0000 0.0000

Entry 17:
5
Lattice="4.7337 0.0000 0.0000 0.0000 2.7966 0.0000 -1.4736 0.0000 4.4998" Properties=species:S:1:pos:R:3 comment="PBE GaHRh3, optimized geometry" total_energy_ev_per_cell=-29.55 vol_a3_per_atom=11.914 polymorph_energy_kj_per_mol_atoms=6.67 n_ef_per_ev_cell=2.940 pbc="T T T"
Ga 0.0000 0.0000 0.0000
H 0.3514 0.0000 3.1514
Rh -0.7200 1.3983 2.2052
Rh 1.7267 0.0000 2.0177
Rh 1.0516 1.3983 4.3520

Entry 18:
16
Lattice="2.4287 -6.1537 0.0000 2.4287 6.1537 0.0000 0.0000 0.0000 11.1053" Properties=species:S:1:pos:R:3 comment="PBE Nb2MoS5, optimized geometry" total_energy_ev_per_cell=-114.47 vol_a3_per_atom=20.747 n_ef_per_ev_cell=7.869 raw_formation_energy_ev_per_fu=-5.628 pbc="T T T"
Nb 2.4287 4.0226 5.9101
Nb 2.4287 4.0226 10.7480
Nb 2.4287 -4.0226 0.3574
Nb 2.4287 -4.0226 5.1953
Mo 2.4287 3.7834 2.7763
Mo 2.4287 -3.7834 8.3290
S 2.4287 5.6311 1.2965
S 2.4287 5.6311 4.2562
S 2.4287 3.0187 8.3290
S 2.4287 1.9689 0.9779
S 2.4287 1.9689 4.5748
S 2.4287 -1.9689 6.5306
S 2.4287 -1.9689 10.1275
S 2.4287 -3.0187 2.7763
S 2.4287 -5.6311 6.8492
S 2.4287 -5.6311 9.8089

Entry 19:
5
Lattice="5.2071 0.0000 0.0000 0.0000 5.2071 0.0000 0.0000 0.0000 5.2071" Properties=species:S:1:pos:R:3 comment="PBE RbCdRe3, optimized geometry" total_energy_ev_per_cell=-23.29 vol_a3_per_atom=28.236 polymorph_energy_kj_per_mol_atoms=0.00 e_form_ev_per_fu=15.9 n_ef_per_ev_cell=6.519 pbc="T T T"
Rb 0.0000 0.0000 0.0000
Cd 2.6035 2.6035 2.6035
Re 0.0000 2.6035 2.6035
Re 2.6035 0.0000 2.6035
Re 2.6035 2.6035 0.0000

Entry 20:
7
Lattice="4.0474 0.0000 0.0000 0.0000 4.0484 0.0000 -2.0052 0.0000 14.0677" Properties=species:S:1:pos:R:3 comment="PBE Pa2Se2Cl3, optimized geometry" total_energy_ev_per_cell=-42.25 vol_a3_per_atom=32.929 n_ef_per_ev_cell=9.221 raw_formation_energy_ev_per_fu=-10.746 pbc="T T T"
Pa 0.0057 0.0000 2.7573
Pa 2.0365 0.0000 11.3105
Se 0.0127 2.0242 11.5303
Se 2.0295 2.0242 2.5374
Cl 0.0000 0.0000 0.0000
Cl 0.0109 0.0000 5.2533
Cl 2.0313 0.0000 8.8144